--- 1 ---
DFT (PBE) results for a geometry-optimized Tb8SbC4 structure.

Values from the calculation:
- Magnetization: 0.000 μB per cell
- Calculated density: 7.4 Mg/m³

a = 10.908 Å, b = 10.908 Å, c = 10.908 Å
α = 90.00°, β = 90.00°, γ = 90.00°
Space group F-43m (No. 216)
Symmetry-distinct sites (fractional):
Tb  0.102  0.102  0.102 [16 per cell]
Tb  0.140  0.140  0.640 [16 per cell]
Sb  0.250  0.250  0.250 [4 per cell]
C  0.129  0.129  0.871 [16 per cell]


--- 2 ---
DFT (PBE) results for a geometry-optimized Tb8SbC4 structure.

Values from the calculation:
- Magnetization: 0.004 μB per cell
- Calculated density: 8.4 Mg/m³

a = 17.391 Å, b = 3.649 Å, c = 11.874 Å
α = 90.00°, β = 130.59°, γ = 90.00°
Space group C2/m (No. 12)
Symmetry-distinct sites (fractional):
Tb  0.042  0.000  0.240 [4 per cell]
Tb  0.130  0.500  0.087 [4 per cell]
Tb  0.165  0.500  0.838 [4 per cell]
Tb  0.203  0.500  0.568 [4 per cell]
Sb  0.000  0.000  0.500 [2 per cell]
C  0.148  0.000  0.959 [4 per cell]
C  0.167  0.500  0.331 [4 per cell]


Most stable one: 2, least stable one: 1.


--- 1 ---
DFT (PBE) results for a geometry-optimized Tc2SbC structure.

Values from the calculation:
- Magnetization: 0.000 μB per cell
- Calculated density: 9.7 Mg/m³

a = 6.096 Å, b = 6.096 Å, c = 6.096 Å
α = 90.00°, β = 90.00°, γ = 90.00°
Space group Fm-3m (No. 225)
Symmetry-distinct sites (fractional):
Tc  0.250  0.250  0.250 [8 per cell]
Sb  0.000  0.000  0.000 [4 per cell]
C  0.000  0.000  0.500 [4 per cell]


--- 2 ---
DFT (PBE) results for a geometry-optimized Tc2SbC structure.

Values from the calculation:
- Magnetization: 0.000 μB per cell
- Calculated density: 7.9 Mg/m³

a = 5.679 Å, b = 5.679 Å, c = 8.554 Å
α = 90.00°, β = 90.00°, γ = 90.00°
Space group I-42d (No. 122)
Symmetry-distinct sites (fractional):
Tc  0.144  0.250  0.125 [8 per cell]
Sb  0.000  0.000  0.500 [4 per cell]
C  0.000  0.000  0.000 [4 per cell]


Most stable one: 2, least stable one: 1.


--- 1 ---
DFT (PBE) results for a geometry-optimized TcSbC3 structure.

Values from the calculation:
- Magnetization: 0.000 μB per cell
- Calculated density: 6.0 Mg/m³

a = 4.135 Å, b = 4.135 Å, c = 4.135 Å
α = 90.00°, β = 90.00°, γ = 90.00°
Space group Pm-3m (No. 221)
Symmetry-distinct sites (fractional):
Tc  0.000  0.000  0.000 [1 per cell]
Sb  0.500  0.500  0.500 [1 per cell]
C  0.000  0.500  0.500 [3 per cell]


--- 2 ---
DFT (PBE) results for a geometry-optimized TcSbC3 structure.

Values from the calculation:
- Magnetization: 0.000 μB per cell
- Calculated density: 6.3 Mg/m³

a = 4.070 Å, b = 4.070 Å, c = 4.070 Å
α = 90.00°, β = 90.00°, γ = 90.00°
Space group Pm-3m (No. 221)
Symmetry-distinct sites (fractional):
Tc  0.000  0.000  0.000 [1 per cell]
Sb  0.500  0.500  0.500 [1 per cell]
C  0.000  0.000  0.500 [3 per cell]


Most stable one: 2, least stable one: 1.


--- 1 ---
DFT (PBE) results for a geometry-optimized Sb3TeC structure.

Values from the calculation:
- Magnetization: 0.000 μB per cell
- Calculated density: 7.2 Mg/m³

a = 4.884 Å, b = 4.884 Å, c = 4.884 Å
α = 90.00°, β = 90.00°, γ = 90.00°
Space group Pm-3m (No. 221)
Symmetry-distinct sites (fractional):
Sb  0.000  0.000  0.500 [3 per cell]
Te  0.500  0.500  0.500 [1 per cell]
C  0.000  0.000  0.000 [1 per cell]


--- 2 ---
DFT (PBE) results for a geometry-optimized Sb3TeC structure.

Values from the calculation:
- Magnetization: 1.885 μB per cell
- Calculated density: 4.4 Mg/m³

a = 5.759 Å, b = 5.759 Å, c = 5.759 Å
α = 90.00°, β = 90.00°, γ = 90.00°
Space group Pm-3m (No. 221)
Symmetry-distinct sites (fractional):
Sb  0.000  0.000  0.500 [3 per cell]
Te  0.000  0.000  0.000 [1 per cell]
C  0.500  0.500  0.500 [1 per cell]


Most stable one: 1, least stable one: 2.